Below is an optimized crystal structure of PuTlCu2Cl8, with properties calculated at the PBE level.

Computed properties:
**ΔE_f (raw)**: -1017 meV/atom
**M_tot**: 2.9 μB per cell

```
data_PuTlCu2Cl8
_cell_length_a 7.1690
_cell_length_b 7.1690
_cell_length_c 8.7622
_cell_angle_alpha 90.00
_cell_angle_beta 90.00
_cell_angle_gamma 120.00
_space_group_name_H-M_alt 'P -3 m 1'
_space_group_IT_number 164
_space_group_name_Hall '-P 3 2"'
loop_
_atom_site_label
_atom_site_type_symbol
_atom_site_fract_x
_atom_site_fract_y
_atom_site_fract_z
Pu1 Pu 0.0000 0.0000 0.0000
Tl1 Tl 0.0000 0.0000 0.5000
Cu1 Cu 0.3333 0.6667 0.6983
Cl1 Cl 0.1657 0.3314 0.8181
Cl2 Cl 0.3333 0.6667 0.4534
```